--- w ---
This record from Alexandria via LeMat-Bulk describes an optimized crystal structure of CaTl6In. The functional is PBE.

extended XYZ file:
```
8
Lattice="-0.6913 -4.2998 1.0448 6.1089 -1.8161 -3.4321 3.7184 0.8955 6.1456" Properties=species:S:1:pos:R:3 pbc="T T T"
Ca -0.3456 -2.1499 0.5224
Tl 5.4945 -1.1191 -0.9702
Tl 4.3329 0.1985 3.6836
Tl 7.3001 -0.6839 2.0156
Tl 2.5273 -0.2368 0.6978
Tl 2.7088 -3.0580 -1.1936
Tl 1.5136 -1.7022 3.5952
In 4.5680 -2.6102 1.8791
```

***

--- x ---
This record from Alexandria via LeMat-Bulk describes an optimized crystal structure of CaTl6In. The functional is PBE.

extended XYZ file:
```
8
Lattice="-3.7015 -1.8634 3.9110 -3.2650 -3.9916 -2.4242 3.6327 -7.6423 2.8175" Properties=species:S:1:pos:R:3 pbc="T T T"
Ca 0.0000 0.0000 0.0000
Tl -0.7939 -4.5314 -0.2019
Tl -0.9997 -3.5278 2.7856
Tl -2.3342 -9.9694 1.5187
Tl -2.5400 -8.9658 4.5062
Tl 0.7899 -9.2197 3.1515
Tl -4.1238 -4.2775 1.1528
In -1.6669 -6.7486 2.1522
```

***

Which is most stable? The ranking, best first, is w, x.

***

--- w ---
This record from Alexandria via LeMat-Bulk describes an optimized crystal structure of Ca6TlIn. The functional is PBE.

extended XYZ file:
```
8
Lattice="-5.3568 -0.7282 1.0483 -0.5813 -2.6350 -4.8004 -1.0304 -9.8372 2.3659" Properties=species:S:1:pos:R:3 pbc="T T T"
Ca -4.9712 -7.4313 -1.6362
Ca -4.0985 -8.5614 2.0371
Ca -1.7110 -9.5149 -0.8872
Ca -2.8700 -4.6390 -3.4233
Ca -1.9973 -5.7691 0.2500
Ca -5.2575 -3.6855 -0.4989
Tl -2.9690 -1.6816 -1.8760
In 0.0000 0.0000 0.0000
```

***

--- x ---
This record from Alexandria via LeMat-Bulk describes an optimized crystal structure of Ca6TlIn. The functional is PBE.

extended XYZ file:
```
8
Lattice="-2.4922 4.1027 -5.5154 -3.2282 -3.1789 -5.7474 -8.3249 0.8457 -0.4259" Properties=species:S:1:pos:R:3 pbc="T T T"
Ca -7.8005 -0.4625 -3.1708
Ca -8.3249 3.5043 -4.8422
Ca -4.2993 1.7505 -4.6692
Ca -5.7204 -1.7347 -6.8465
Ca -6.2449 2.2321 -8.5179
Ca -9.7460 0.0190 -7.0195
Tl 0.0000 0.0000 0.0000
In -7.0227 0.8848 -5.8443
```

***

Which is most stable? The ranking, best first, is w, x.

***

--- w ---
This record from Alexandria via LeMat-Bulk describes an optimized crystal structure of CaYTlIn. The functional is PBE.

extended XYZ file:
```
4
Lattice="-5.1619 1.2052 -1.0909 -3.9393 -3.4214 1.4364 -3.3824 1.3016 4.0191" Properties=species:S:1:pos:R:3 pbc="T T T"
Y -9.3627 -0.6860 3.2734
Tl 0.0000 0.0000 0.0000
Ca -3.1209 -0.2287 1.0911
In -6.2418 -0.4573 2.1823
```

***

--- x ---
This record from Alexandria via LeMat-Bulk describes an optimized crystal structure of CaYTlIn. The functional is PBE.

extended XYZ file:
```
4
Lattice="-0.4989 3.3425 -1.7769 -0.3883 -1.8280 -3.3296 -7.5836 -0.5123 1.1657" Properties=species:S:1:pos:R:3 pbc="T T T"
Ca -6.5026 -0.4392 0.9995
Y -2.6924 -0.1819 0.4138
Tl -5.0135 0.4485 -1.8508
In -1.2996 0.6994 -2.4217
```

***

Which is most stable? The ranking, best first, is x, w.

***

--- w ---
This record from Alexandria via LeMat-Bulk describes an optimized crystal structure of CaTm2In. The functional is PBE.

extended XYZ file:
```
4
Lattice="4.7991 0.0000 0.0000 0.0000 4.8862 0.0000 0.0000 0.0000 4.8862" Properties=species:S:1:pos:R:3 pbc="T T T"
Ca 2.3996 2.4431 2.4431
Tm 0.0000 0.0000 2.4431
Tm 0.0000 2.4431 0.0000
In 2.3996 0.0000 0.0000
```

***

--- x ---
This record from Alexandria via LeMat-Bulk describes an optimized crystal structure of CaTm2In. The functional is PBE.

extended XYZ file:
```
4
Lattice="-3.1208 -1.3654 1.1846 0.9302 -3.2396 -1.2833 4.0718 -2.1146 8.2897" Properties=species:S:1:pos:R:3 pbc="T T T"
Ca 0.9406 -3.3598 4.0955
Tm 3.2316 -1.6783 6.5790
Tm 0.8403 -0.4364 1.7107
In -1.0953 -2.3025 -0.0493
```

***

Which is most stable? The ranking, best first, is w, x.

***

--- w ---
This record from Alexandria via LeMat-Bulk describes an optimized crystal structure of CaTm2In. The functional is PBE.

extended XYZ file:
```
4
Lattice="5.4846 0.0000 0.0000 2.7423 4.7498 0.0000 2.7423 1.5833 4.4766" Properties=species:S:1:pos:R:3 pbc="T T T"
Ca 5.4846 3.1665 2.2373
Tm 8.2269 4.7498 0.0013
Tm 2.7423 1.5833 1.1185
In 8.2269 4.7498 3.3578
```

***

--- x ---
This record from Alexandria via LeMat-Bulk describes an optimized crystal structure of CaTm2In. The functional is PBE.

extended XYZ file:
```
4
Lattice="5.4403 0.0000 0.0000 2.7202 4.7115 0.0000 2.7202 1.5705 4.4420" Properties=species:S:1:pos:R:3 pbc="T T T"
Ca 0.0000 0.0000 0.0000
Tm 2.7202 1.5705 1.1105
Tm 8.1605 4.7115 3.3315
In 5.4403 3.1410 2.2210
```

***

--- y ---
This record from Alexandria via LeMat-Bulk describes an optimized crystal structure of CaTm2In. The functional is PBE.

extended XYZ file:
```
4
Lattice="3.5474 0.0000 0.0000 1.7737 3.0721 0.0000 1.7737 1.0240 11.6821" Properties=species:S:1:pos:R:3 pbc="T T T"
Ca 0.0000 0.0000 0.0000
Tm 1.7737 1.0240 8.2963
Tm 5.3211 3.0721 3.3858
In 3.5474 2.0481 5.8410
```

***

Which is most stable? The ranking, best first, is x, w, y.

***

--- w ---
This record from Alexandria via LeMat-Bulk describes an optimized crystal structure of CaTmIn. The functional is PBE.

extended XYZ file:
```
6
Lattice="3.4854 0.0000 0.0000 0.0000 3.4854 0.0000 -1.7427 -1.7427 15.0478" Properties=species:S:1:pos:R:3 pbc="T T T"
Ca 1.7427 1.7427 1.8536
Ca 0.0000 0.0000 13.1942
Tm 0.0000 0.0000 8.7719
Tm 1.7427 1.7427 6.2758
In 0.0000 0.0000 4.0897
In 1.7427 1.7427 10.9581
```

***

--- x ---
This record from Alexandria via LeMat-Bulk describes an optimized crystal structure of CaTmIn. The functional is PBE.

extended XYZ file:
```
3
Lattice="3.5715 0.0000 0.0000 0.0000 3.5715 0.0000 -1.7857 -1.7857 7.0759" Properties=species:S:1:pos:R:3 pbc="T T T"
Ca 1.7857 1.7857 6.1454
Tm 1.7857 1.7857 1.9478
In 0.0000 0.0000 3.9358
```

***

Which is most stable? The ranking, best first, is w, x.

***

--- w ---
This record from Alexandria via LeMat-Bulk describes an optimized crystal structure of CaTmIn. The functional is PBE.

extended XYZ file:
```
9
Lattice="4.6163 0.0000 0.0000 0.0000 8.3494 0.0000 0.0000 -4.1747 7.2308" Properties=species:S:1:pos:R:3 pbc="T T T"
In 2.3081 4.1747 2.4103
In 2.3081 0.0000 4.8206
In 0.0000 0.0000 0.0000
Ca 0.0000 2.4542 4.2508
Ca 0.0000 -1.7205 2.9800
Ca 0.0000 3.4411 0.0000
Tm 2.3081 -3.1298 5.4210
Tm 2.3081 6.2597 0.0000
Tm 2.3081 1.0449 1.8098
```

***

--- x ---
This record from Alexandria via LeMat-Bulk describes an optimized crystal structure of CaTmIn. The functional is PBE.

extended XYZ file:
```
6
Lattice="5.3766 -0.0001 0.0000 -2.6874 4.6568 0.0000 0.0000 0.0000 6.8709" Properties=species:S:1:pos:R:3 pbc="T T T"
Ca -1.3437 2.3284 0.0000
Ca -1.3437 2.3284 3.4355
Tm 1.3443 3.8810 5.1532
Tm 1.3450 0.7757 1.7177
In 1.3435 0.7766 5.1532
In 1.3458 3.8801 1.7177
```

***

--- y ---
This record from Alexandria via LeMat-Bulk describes an optimized crystal structure of CaTmIn. The functional is PBE.

extended XYZ file:
```
3
Lattice="-2.8247 -1.0807 -1.9711 -0.5876 -4.2416 3.1677 -2.5331 4.5452 1.1381" Properties=species:S:1:pos:R:3 pbc="T T T"
Ca -2.9317 1.2157 1.0840
Tm -2.6257 -1.0046 -1.8322
In -3.2127 -2.0689 1.1119
```

***

Which is most stable? The ranking, best first, is x, w, y.

***

--- w ---
This record from Alexandria via LeMat-Bulk describes an optimized crystal structure of CaTm3In2. The functional is PBE.

extended XYZ file:
```
12
Lattice="-3.5705 1.8072 -3.6276 -4.5194 -0.9582 7.9920 5.6498 6.9104 -2.1182" Properties=species:S:1:pos:R:3 pbc="T T T"
Ca -1.2535 7.1403 0.7699
Ca -1.1866 0.6191 1.4763
Tm -0.4757 4.1686 2.5450
Tm -3.9946 4.9413 2.3723
Tm 0.6670 5.6466 -1.8645
Tm -3.1071 2.1127 4.1107
Tm 1.5545 2.8181 -0.1261
Tm -1.9644 3.5907 -0.2988
In 2.8600 6.9797 -3.3589
In -5.3001 0.7796 5.6051
In -4.3713 1.8893 1.2226
In 1.9312 5.8701 1.0236
```

***

--- x ---
This record from Alexandria via LeMat-Bulk describes an optimized crystal structure of CaTm3In2. The functional is PBE.

extended XYZ file:
```
12
Lattice="-5.2662 -0.2597 0.9053 -0.2630 -5.9310 -3.2310 1.5875 -4.4115 7.9687" Properties=species:S:1:pos:R:3 pbc="T T T"
Ca -1.9678 -5.3144 2.8354
Ca -1.8428 -2.3309 4.4184
Tm 1.4531 -7.3640 6.3401
Tm -0.2597 -5.9352 -3.2130
Tm -2.5706 -5.2770 -0.6600
Tm -1.3693 -5.2842 6.3254
Tm 0.4569 -2.9574 1.8091
Tm 0.8659 -7.4250 2.9069
In -1.5044 -8.2563 4.6869
In -2.4368 -2.3345 0.9624
In 0.9980 -4.4458 4.5298
In 0.3260 -5.9093 0.2011
```

***

Which is most stable? The ranking, best first, is x, w.